Below is ScZnHg2 after structural relaxation, with properties calculated at the GGA-PBE level.

a = 6.2419 Å, b = 6.2419 Å, c = 4.7318 Å
α = 90.00°, β = 90.00°, γ = 118.55°
Closest atoms and distances in Å follow each position.
Atoms (fractional coordinates):
Sc 0.1649 0.8351 0.7500  8 Hg 2.97-3.19, 4 Zn 3.00-3.19
Sc 0.8351 0.1649 0.2500  8 Hg 2.97-3.19, 4 Zn 3.00-3.19
Zn 0.3365 0.6635 0.2500  8 Hg 2.94-3.15, 4 Sc 3.00-3.19
Zn 0.6635 0.3365 0.7500  8 Hg 2.94-3.15, 4 Sc 3.00-3.19
Hg 0.1629 0.3453 0.7500  4 Zn 2.94-3.15, 4 Sc 2.97-3.19, 4 Hg 3.07-3.24
Hg 0.3453 0.1629 0.2500  4 Zn 2.94-3.15, 4 Sc 2.97-3.19, 4 Hg 3.07-3.24
Hg 0.6547 0.8371 0.7500  4 Zn 2.94-3.15, 4 Sc 2.97-3.19, 4 Hg 3.07-3.24
Hg 0.8371 0.6547 0.2500  4 Zn 2.94-3.15, 4 Sc 2.97-3.19, 4 Hg 3.07-3.24

Symmetry = Cmcm
Energy = -9.17 eV per formula unit